Entry 1:
Density functional theory data (GGA-PBE) for PrAl2In after structural relaxation.

The structure in extended XYZ format:
```
8
Lattice="4.754 0.000 0.000 0.000 3.318 5.888 0.000 -3.318 5.888" Properties=species:S:1:pos:R:3 pbc="T T T"
Al 2.377 1.929 5.029
Al 2.377 0.000 1.628
Al 2.377 -1.929 5.029
Al 0.000 0.000 10.102
In 0.000 1.770 6.739
In 0.000 -1.770 6.739
Pr 0.000 0.000 3.870
Pr 2.377 0.000 7.973
```

For the total energy, the calculation gives -4.1460 eV/atom. The crystal system is orthorhombic. As for the total magnetic moment: 0.00 μB per atom.

Entry 2:
Density functional theory data (GGA-PBE) for PrAlIn after structural relaxation.

The structure in extended XYZ format:
```
3
Lattice="-0.877 -3.030 4.003 -4.695 -0.348 1.952 -2.694 -4.286 -0.590" Properties=species:S:1:pos:R:3 pbc="T T T"
Al -2.066 -1.916 1.341
In -6.199 -5.748 4.023
Pr 0.000 0.000 0.000
```

For the total energy, the calculation gives -3.6255 eV/atom. The crystal system is cubic. As for the total magnetic moment: 0.00 μB per atom.

Entry 3:
Density functional theory data (GGA-PBE) for PrAlInTe3 after structural relaxation.

The structure in extended XYZ format:
```
12
Lattice="-6.049 4.907 0.282 2.980 -6.446 -3.212 -4.976 -6.634 8.698" Properties=species:S:1:pos:R:3 pbc="T T T"
Al -6.980 2.856 2.336
Al -1.065 -11.029 3.432
In -0.623 -5.139 -0.125
In -7.422 -3.035 5.893
Pr -1.535 -0.770 -1.465
Pr -4.023 -4.087 2.884
Te -5.098 2.779 0.404
Te -3.439 -1.598 0.965
Te -6.866 0.422 3.495
Te -1.179 -8.595 2.273
Te -4.606 -6.575 4.803
Te -2.947 -10.953 5.364
```

For the total energy, the calculation gives -4.0955 eV/atom. The crystal system is orthorhombic. As for the total magnetic moment: 0.00 μB per atom.

Entry 4:
Density functional theory data (GGA-PBE) for Sc2AlIn3Pt2 after structural relaxation.

The structure in extended XYZ format:
```
8
Lattice="-2.852 -4.638 -0.887 1.264 -4.884 -2.232 1.991 -2.372 6.526" Properties=species:S:1:pos:R:3 pbc="T T T"
Al -0.933 -6.312 -1.701
In -0.103 -7.062 0.977
In 0.509 -4.666 2.411
In 1.297 -5.894 5.046
Pt 0.136 -2.399 0.854
Pt 0.270 -9.268 2.521
Sc -0.982 -9.390 -1.288
Sc 1.417 -2.587 4.810
```

For the total energy, the calculation gives -5.3100 eV/atom. The crystal system is monoclinic. As for the total magnetic moment: 0.00 μB per atom.